Entry 1:
This record from the Alexandria database describes a relaxed SmMg8Ir4 crystal. The functional is GGA-PBE.

a = 7.104 Å, b = 7.104 Å, c = 7.104 Å
α = 99.38°, β = 99.38°, γ = 132.39°
Sites, in units of the cell vectors:
Sm 0.000 0.000 0.000
Mg 0.000 0.331 0.331
Mg 0.000 0.669 0.669
Mg 0.277 0.500 0.777
Mg 0.331 0.000 0.331
Mg 0.500 0.277 0.777
Mg 0.500 0.723 0.223
Mg 0.669 0.000 0.669
Mg 0.723 0.500 0.223
Ir 0.000 0.000 0.500
Ir 0.000 0.500 0.000
Ir 0.500 0.000 0.000
Ir 0.500 0.500 0.500

E_form	-0.34	eV per atom
spin magnetization	0.00	μB per formula unit

---

Entry 2:
This record from the Alexandria database describes a relaxed LaTlMo2 crystal. The functional is GGA-PBE.

a = 3.115 Å, b = 3.115 Å, c = 9.418 Å
α = 90.00°, β = 90.00°, γ = 115.92°
Sites, in units of the cell vectors:
La 0.000 0.000 0.000
Tl 0.000 0.000 0.500
Mo 0.500 0.500 0.251
Mo 0.500 0.500 0.749

polymorph energy (0 for the lowest one)	617	meV/atom
E_form	0.81	eV per atom
spin magnetization	0.00	μB per formula unit

---

Entry 3:
This record from the Alexandria database describes a relaxed Zr13Pt2 crystal. The functional is GGA-PBE.

a = 5.722 Å, b = 7.637 Å, c = 8.326 Å
α = 67.51°, β = 79.55°, γ = 82.08°
Sites, in units of the cell vectors:
Zr 0.000 0.000 0.000
Zr 0.055 0.417 0.715
Zr 0.207 0.181 0.225
Zr 0.255 0.592 0.946
Zr 0.294 0.997 0.654
Zr 0.451 0.371 0.417
Zr 0.482 0.795 0.140
Zr 0.518 0.205 0.860
Zr 0.549 0.629 0.583
Zr 0.706 0.003 0.346
Zr 0.745 0.408 0.054
Zr 0.793 0.819 0.775
Zr 0.945 0.583 0.285
Pt 0.135 0.780 0.442
Pt 0.865 0.220 0.558

E_form	-0.26	eV per atom
spin magnetization	0.00	μB per formula unit

---

Entry 4:
This record from the Alexandria database describes a relaxed Ta3Cd4 crystal. The functional is GGA-PBE.

a = 13.789 Å, b = 13.789 Å, c = 13.789 Å
α = 166.50°, β = 166.50°, γ = 19.13°
Sites, in units of the cell vectors:
Ta 0.000 0.000 0.000
Ta 0.276 0.276 0.000
Ta 0.724 0.724 0.000
Cd 0.148 0.148 0.000
Cd 0.427 0.427 0.000
Cd 0.573 0.573 0.000
Cd 0.852 0.852 0.000

E_form	0.37	eV per atom
spin magnetization	0.00	μB per formula unit

---

Entry 5:
This record from the Alexandria database describes a relaxed YScAl2Au4 crystal. The functional is GGA-PBE.

a = 8.674 Å, b = 8.674 Å, c = 8.674 Å
α = 30.93°, β = 30.93°, γ = 30.93°
Sites, in units of the cell vectors:
Y 0.000 0.000 0.000
Sc 0.500 0.500 0.500
Al 0.245 0.245 0.245
Al 0.755 0.755 0.755
Au 0.126 0.126 0.126
Au 0.388 0.388 0.388
Au 0.612 0.612 0.612
Au 0.874 0.874 0.874

E_form	-0.71	eV per atom
spin magnetization	0.00	μB per formula unit

---

Entry 6:
This record from the Alexandria database describes a relaxed PmMnH6 crystal. The functional is GGA-PBE.

a = 4.472 Å, b = 4.472 Å, c = 4.619 Å
α = 119.03°, β = 119.03°, γ = 59.94°
Sites, in units of the cell vectors:
Pm 0.000 0.000 0.000
Mn 0.500 0.500 0.500
H 0.072 0.597 0.266
H 0.403 0.403 0.732
H 0.403 0.928 0.734
H 0.597 0.072 0.266
H 0.597 0.597 0.268
H 0.928 0.403 0.734

polymorph energy (0 for the lowest one)	0	meV/atom
spin magnetization	2.00	μB per formula unit

---

Entry 7:
This record from the Alexandria database describes a relaxed Y2ScBi2 crystal. The functional is GGA-PBE.

a = 8.602 Å, b = 8.602 Å, c = 4.038 Å
α = 90.00°, β = 90.00°, γ = 90.00°
Sites, in units of the cell vectors:
Y 0.139 0.361 0.000
Y 0.361 0.861 0.000
Y 0.639 0.139 0.000
Y 0.861 0.639 0.000
Sc 0.000 0.000 0.000
Sc 0.500 0.500 0.000
Bi 0.166 0.666 0.500
Bi 0.334 0.166 0.500
Bi 0.666 0.834 0.500
Bi 0.834 0.334 0.500

polymorph energy (0 for the lowest one)	343	meV/atom
E_form	-0.33	eV per atom
spin magnetization	1.20	μB per formula unit

---

Entry 8:
This record from the Alexandria database describes a relaxed Tm12Bi6Rh crystal. The functional is GGA-PBE.

a = 8.576 Å, b = 8.576 Å, c = 8.576 Å
α = 99.99°, β = 99.99°, γ = 99.99°
Sites, in units of the cell vectors:
Tm 0.002 0.940 0.690
Tm 0.060 0.310 0.998
Tm 0.205 0.535 0.408
Tm 0.310 0.998 0.060
Tm 0.408 0.205 0.535
Tm 0.465 0.592 0.795
Tm 0.535 0.408 0.205
Tm 0.592 0.795 0.465
Tm 0.690 0.002 0.940
Tm 0.795 0.465 0.592
Tm 0.940 0.690 0.002
Tm 0.998 0.060 0.310
Bi 0.115 0.323 0.652
Bi 0.323 0.652 0.115
Bi 0.348 0.885 0.677
Bi 0.652 0.115 0.323
Bi 0.677 0.348 0.885
Bi 0.885 0.677 0.348
Rh 0.000 0.000 0.000

E_form	-0.46	eV per atom
spin magnetization	0.00	μB per formula unit